Compound: Pu2MnF8
Source: Alexandria via LeMat-Bulk
Functional: PBE+U
Structure: relaxed

a = 6.7543 Å, b = 6.7543 Å, c = 7.3083 Å
α = 100.71°, β = 100.71°, γ = 34.53°
With the nearest neighbours (Å) after each atom.
Atoms (fractional coordinates):
Pu1 0.2381 0.2381 0.2420  7 F 2.26-2.47
Pu2 0.7619 0.7619 0.7580  7 F 2.26-2.47
Mn1 0.0000 0.0000 0.5000  2 F 2.05
F1 0.0659 0.0659 0.2660  1 Mn 2.05, 1 Pu 2.26
F2 0.2178 0.2178 0.5857  3 Pu 2.38-2.58, 3 F 2.59-2.64
F3 0.3022 0.3022 0.9450  3 Pu 2.42-2.47, 3 F 2.63-2.64
F4 0.4155 0.4155 0.3713  1 Pu 2.30, 2 Mn 2.39
F5 0.5845 0.5845 0.6287  1 Pu 2.30, 2 Mn 2.39
F6 0.6978 0.6978 0.0550  3 Pu 2.42-2.47, 3 F 2.63-2.64
F7 0.7822 0.7822 0.4143  3 Pu 2.38-2.58, 3 F 2.59-2.64
F8 0.9341 0.9341 0.7340  1 Mn 2.05, 1 Pu 2.26

DOS(E_F) = 21.17 states/eV/f.u.
Total energy = -87.23 eV per cell
Spin magnetization = 15.0 μB per cell
Volume = 185 Å³ per cell